(one)
CuTcMo | GGA-PBEsol | optimized geometry

Cell: 2.599 2.599 6.564 Å, 98.17 98.17 106.41°
Element x y z (fractional)
Cu 0.999 0.999 0.998
Mo 0.666 0.666 0.331
Tc 0.335 0.335 0.671

Magnetic moment ... 0.00 μB per formula unit

(two)
CuTcMo | GGA-PBEsol | optimized geometry

Cell: 2.588 2.588 6.384 Å, 101.69 101.69 90.00°
Element x y z (fractional)
Mo 0.662 0.662 0.324
Tc 0.340 0.340 0.680
Cu 0.998 0.998 0.996

Magnetic moment ... 0.00 μB per formula unit

(three)
CuTcMo | GGA-PBEsol | optimized geometry

Cell: 4.108 4.108 4.108 Å, 60.00 60.00 60.00°
Element x y z (fractional)
Cu 0.000 0.000 0.000
Tc 0.250 0.250 0.250
Mo 0.500 0.500 0.500

Magnetic moment ... 0.00 μB per formula unit

Most stable pick: (one). Distance to second place: 62 meV per atom.

(one)
TlCuMo2 | GGA-PBEsol | optimized geometry

Cell: 2.796 5.078 5.078 Å, 117.78 90.00 90.00°
Element x y z (fractional)
Cu 0.500 0.500 0.500
Tl 0.500 0.000 0.000
Mo 0.000 0.000 0.500
Mo 0.000 0.500 0.000

Magnetic moment ... 0.00 μB per formula unit

(two)
TlCuMo2 | GGA-PBEsol | optimized geometry

Cell: 2.852 2.852 7.978 Å, 90.00 90.00 90.00°
Element x y z (fractional)
Cu 0.500 0.500 0.768
Mo 0.000 0.000 0.990
Mo 0.500 0.500 0.229
Tl 0.000 0.000 0.513

Magnetic moment ... 0.00 μB per formula unit

(three)
TlCuMo2 | GGA-PBEsol | optimized geometry

Cell: 2.742 4.104 5.765 Å, 90.00 90.00 90.00°
Element x y z (fractional)
Cu 0.500 0.500 0.767
Mo 0.500 0.500 0.221
Mo 0.000 0.000 0.002
Tl 0.000 0.000 0.511

Magnetic moment ... 0.00 μB per formula unit

Most stable pick: (three). Distance to second place: 14 meV per atom.

(one)
CuMoW2 | GGA-PBEsol | optimized geometry

Cell: 2.594 4.179 5.472 Å, 90.00 90.00 90.00°
Element x y z (fractional)
W 0.000 0.000 0.243
W 0.000 0.000 0.757
Cu 0.500 0.500 0.000
Mo 0.500 0.500 0.500

Magnetic moment ... 0.00 μB per formula unit

(two)
CuMoW2 | GGA-PBEsol | optimized geometry

Cell: 2.635 2.635 8.474 Å, 90.00 90.00 90.00°
Element x y z (fractional)
Mo 0.500 0.500 0.731
W 0.500 0.500 0.270
W 0.000 0.000 0.000
Cu 0.000 0.000 0.500

Magnetic moment ... 0.00 μB per formula unit

Most stable pick: (two). Distance to second place: 49 meV per atom.

(one)
CuMo2W | GGA-PBEsol | optimized geometry

Cell: 2.708 2.708 9.493 Å, 81.80 81.80 60.00°
Element x y z (fractional)
W 0.500 0.500 0.500
Cu 0.000 0.000 0.000
Mo 0.746 0.746 0.762
Mo 0.254 0.254 0.238

Magnetic moment ... 0.00 μB per formula unit

(two)
CuMo2W | GGA-PBEsol | optimized geometry

Cell: 3.876 3.853 3.853 Å, 90.00 90.00 90.00°
Element x y z (fractional)
Mo 0.000 0.500 0.000
Mo 0.000 0.000 0.500
W 0.500 0.500 0.500
Cu 0.500 0.000 0.000

Magnetic moment ... 0.00 μB per formula unit

Most stable pick: (two). Distance to second place: 198 meV per atom.

(one)
YCuMo2 | GGA-PBEsol | optimized geometry

Cell: 3.400 4.693 5.085 Å, 108.29 90.00 111.24°
Element x y z (fractional)
Cu 0.268 0.535 0.808
Mo 0.005 0.010 0.000
Mo 0.724 0.448 0.182
Y 0.503 0.007 0.509

Magnetic moment ... 0.00 μB per formula unit

(two)
YCuMo2 | GGA-PBEsol | optimized geometry

Cell: 4.550 4.550 4.550 Å, 60.00 60.00 60.00°
Element x y z (fractional)
Mo 0.750 0.750 0.750
Mo 0.000 0.000 0.000
Y 0.250 0.250 0.250
Cu 0.500 0.500 0.500

Magnetic moment ... 0.00 μB per formula unit

Most stable pick: (two). Distance to second place: 79 meV per atom.

(one)
YCu2Mo | GGA-PBEsol | optimized geometry

Cell: 3.234 3.234 6.227 Å, 90.00 90.00 90.00°
Element x y z (fractional)
Mo 0.500 0.500 0.000
Cu 0.000 0.000 0.204
Cu 0.000 0.000 0.796
Y 0.500 0.500 0.500

Magnetic moment ... 0.00 μB per formula unit

(two)
YCu2Mo | GGA-PBEsol | optimized geometry

Cell: 4.511 4.511 4.511 Å, 60.00 60.00 60.00°
Element x y z (fractional)
Cu 0.750 0.750 0.750
Cu 0.250 0.250 0.250
Mo 0.500 0.500 0.500
Y 0.000 0.000 0.000

Magnetic moment ... 0.00 μB per formula unit

Most stable pick: (one). Distance to second place: 85 meV per atom.